# 1
Material: MnAgWN2
Method: DFT, GGA-PBE
State: optimized geometry

The formation energy without anion corrections comes out at 2.9907 eV/atom. The calculation puts the size of the total moment at 0.488 μB/f.u. For the calculated volume, the calculation gives 15.71 Å³ per atom.

The structure belongs to space group P4/mmm (No. 123); the cell edges are 3.8316, 3.8316 and 5.3512 Å and the angles 90.00°, 90.00° and 90.00°. Symmetry generates all atoms from Mn at (0.0000, 0.0000, 0.0000), Ag at (0.5000, 0.5000, 0.5000), W at (0.5000, 0.5000, 0.0000) and N at (0.0000, 0.5000, 0.5000).

---

# 2
Material: Ga2CuPd3
Method: DFT, GGA-PBE
State: optimized geometry

The calculation puts the energy above the most stable polymorph in this dataset at 0.11 eV/f.u. The calculation puts the size of the total moment at 0.000 μB/f.u. For the calculated volume, the calculation gives 14.59 Å³ per atom. Its energy relative to the elements is -473 meV per atom.

The structure belongs to space group P4/mmm (No. 123); the cell edges are 3.1920, 3.1920 and 8.5890 Å and the angles 90.00°, 90.00° and 90.00°. Symmetry generates all atoms from Ga at (0.0000, 0.0000, 0.1774), Cu at (0.0000, 0.0000, 0.5000), Pd at (0.5000, 0.5000, 0.0000) and Pd at (0.5000, 0.5000, 0.3323).

---

# 3
Material: Cs2RbLiBr
Method: DFT, GGA-PBE
State: optimized geometry

The calculation puts the energy above the most stable polymorph in this dataset at 0.00 eV/f.u. The formation energy without anion corrections comes out at -0.5666 eV/atom. The calculation puts the size of the total moment at 0.000 μB/f.u. For the calculated volume, the calculation gives 69.24 Å³ per atom.

The structure belongs to space group P4/mmm (No. 123); the cell edges are 7.1387, 7.1387 and 6.7939 Å and the angles 90.00°, 90.00° and 90.00°. Symmetry generates all atoms from Cs at (0.0000, 0.5000, 0.0000), Rb at (0.0000, 0.0000, 0.5000), Li at (0.5000, 0.5000, 0.5000) and Br at (0.0000, 0.0000, 0.0000).